This record from the Alexandria database describes crystalline V6O11 at its relaxed geometry. The functional is PBE+U.

M_tot (Bohr magnetons per cell): 16.00
Energy above the most stable polymorph in this dataset (meV per atom): 0
SG: P-1, No. 2
Energy (eV per atom): -7.85

a = 5.5585 Å, b = 7.1369 Å, c = 9.7318 Å
α = 89.09°, β = 99.71°, γ = 107.65°
Closest atoms and distances in Å follow each position.
Positions (direct):
O: 0.4381 0.3550 0.2998  3 V 1.93-1.98
O: 0.8218 0.2057 0.8600  4 V 2.04-2.16
O: 0.9811 0.0900 0.1068  4 V 1.98-2.17
O: 0.0777 0.5834 0.7590  1 V 1.79
O: 0.5266 0.8295 0.9268  3 V 1.90-2.05
O: 0.9223 0.4166 0.2410  1 V 1.79
O: 0.0189 0.9100 0.8932  4 V 1.98-2.17
O: 0.0962 0.3616 0.5259  3 V 1.96-1.98
O: 0.4734 0.1705 0.0732  3 V 1.90-2.05
O: 0.7912 0.5483 0.9658  4 V 2.02-2.16
O: 0.1245 0.0158 0.3865  2 V 1.82-2.02
O: 0.3352 0.2581 0.7898  1 V 1.75
O: 0.2088 0.4517 0.0342  4 V 2.02-2.16
O: 0.3650 0.9195 0.6502  3 V 1.92-1.99
O: 0.9038 0.6384 0.4741  3 V 1.96-1.98
O: 0.5619 0.6450 0.7002  3 V 1.93-1.98
O: 0.8755 0.9842 0.6135  2 V 1.82-2.02
O: 0.6648 0.7419 0.2102  1 V 1.75
O: 0.5945 0.3018 0.5763  3 V 1.84-2.01
O: 0.1782 0.7943 0.1400  4 V 2.04-2.16
O: 0.6350 0.0805 0.3498  3 V 1.92-1.99
O: 0.4055 0.6982 0.4237  3 V 1.84-2.01
V: 0.1839 0.1986 0.9352  1 O 1.75
V: 0.3095 0.0784 0.2455  3 O 1.82-1.93
V: 0.7585 0.3570 0.4247  5 O 1.84-1.99
V: 0.2317 0.1413 0.5868  6 O 1.98-2.08
V: 0.6998 0.4320 0.7647  6 O 1.95-2.08
V: 0.8239 0.3046 0.0687  3 O 1.79-1.98
V: 0.3002 0.5680 0.2353  6 O 1.95-2.08
V: 0.8161 0.8014 0.0648  1 O 1.75
V: 0.6905 0.9216 0.7545  3 O 1.82-1.93
V: 0.2415 0.6430 0.5753  5 O 1.84-1.99
V: 0.1761 0.6954 0.9313  3 O 1.79-1.98
V: 0.7683 0.8587 0.4132  6 O 1.98-2.08